No. 1
The following is a PBE calculation of a geometry-optimized Hf3GaPd structure, from Alexandria.

a = 4.987 Å, b = 4.987 Å, c = 4.987 Å
α = 90.00°, β = 90.00°, γ = 90.00°
Atoms (fractional coordinates):
Hf 0.000 0.000 0.500
Hf 0.000 0.500 0.000
Hf 0.500 0.000 0.000
Ga 0.500 0.500 0.500
Pd 0.000 0.000 0.000

Results
Total DFT energy (no corrections) in eV/atom: -7.19
Calculated formation energy in meV per atom: 421.5
Excess energy over the best structure of this formula in the dataset in meV per atom: 0

=====

No. 2
The following is a PBE calculation of a geometry-optimized HfGa2Pd2 structure, from Alexandria.

a = 4.520 Å, b = 3.074 Å, c = 11.949 Å
α = 90.00°, β = 90.17°, γ = 90.00°
Atoms (fractional coordinates):
Hf 0.248 0.250 0.252
Hf 0.752 0.750 0.748
Ga 0.248 0.750 0.036
Ga 0.251 0.250 0.640
Ga 0.749 0.750 0.360
Ga 0.752 0.250 0.964
Pd 0.250 0.750 0.459
Pd 0.252 0.250 0.853
Pd 0.748 0.750 0.147
Pd 0.750 0.250 0.541

Results
Total DFT energy (no corrections) in eV/atom: -5.88
Calculated formation energy in meV per atom: -601.2
Excess energy over the best structure of this formula in the dataset in meV per atom: 0

=====

No. 3
The following is a PBE calculation of a geometry-optimized Hf8Ga2Pd structure, from Alexandria.

a = 9.092 Å, b = 9.092 Å, c = 6.063 Å
α = 103.23°, β = 103.23°, γ = 28.13°
Atoms (fractional coordinates):
Hf 0.025 0.025 0.253
Hf 0.220 0.220 0.832
Hf 0.347 0.347 0.496
Hf 0.404 0.404 0.011
Hf 0.596 0.596 0.989
Hf 0.653 0.653 0.504
Hf 0.780 0.780 0.168
Hf 0.975 0.975 0.747
Ga 0.185 0.185 0.264
Ga 0.815 0.815 0.736
Pd 0.500 0.500 0.500

Results
Total DFT energy (no corrections) in eV/atom: -8.44
Calculated formation energy in meV per atom: -183.0

=====

No. 4
The following is a PBE calculation of a geometry-optimized HfGa2Pd4 structure, from Alexandria.

a = 7.205 Å, b = 7.205 Å, c = 7.205 Å
α = 139.84°, β = 139.84°, γ = 58.10°
Atoms (fractional coordinates):
Hf 0.000 0.000 0.000
Ga 0.393 0.393 0.000
Ga 0.607 0.607 0.000
Pd 0.000 0.500 0.500
Pd 0.195 0.195 0.000
Pd 0.500 0.000 0.500
Pd 0.805 0.805 0.000

Results
Total DFT energy (no corrections) in eV/atom: -5.00
Calculated formation energy in meV per atom: 255.3
Excess energy over the best structure of this formula in the dataset in meV per atom: 905

=====

Please write out number 4 again, unchanged.
The following is a PBE calculation of a geometry-optimized HfGa2Pd4 structure, from Alexandria.

a = 7.205 Å, b = 7.205 Å, c = 7.205 Å
α = 139.84°, β = 139.84°, γ = 58.10°
Atoms (fractional coordinates):
Hf 0.000 0.000 0.000
Ga 0.393 0.393 0.000
Ga 0.607 0.607 0.000
Pd 0.000 0.500 0.500
Pd 0.195 0.195 0.000
Pd 0.500 0.000 0.500
Pd 0.805 0.805 0.000

Results
Total DFT energy (no corrections) in eV/atom: -5.00
Calculated formation energy in meV per atom: 255.3
Excess energy over the best structure of this formula in the dataset in meV per atom: 905

=====

Question: Which formula does entry 2 have?
Answer: HfGa2Pd2

=====

Repeat the fourth record exactly.
The following is a PBE calculation of a geometry-optimized HfGa2Pd4 structure, from Alexandria.

a = 7.205 Å, b = 7.205 Å, c = 7.205 Å
α = 139.84°, β = 139.84°, γ = 58.10°
Atoms (fractional coordinates):
Hf 0.000 0.000 0.000
Ga 0.393 0.393 0.000
Ga 0.607 0.607 0.000
Pd 0.000 0.500 0.500
Pd 0.195 0.195 0.000
Pd 0.500 0.000 0.500
Pd 0.805 0.805 0.000

Results
Total DFT energy (no corrections) in eV/atom: -5.00
Calculated formation energy in meV per atom: 255.3
Excess energy over the best structure of this formula in the dataset in meV per atom: 905